The following is a PBE calculation of an optimized crystal structure of La2Fe2I, from Alexandria.

Lattice parameters (Å, degrees): 4.0684 4.0684 18.2004 90.00 90.00 120.00
Closest atoms and distances in Å follow each position.
Fractional coordinates of all 10 atoms:
La 0.0000 0.0000 0.3943  6 Fe 3.02-3.05
La 0.0000 0.0000 0.6057  6 Fe 3.02-3.05
La 0.0000 0.0000 0.8943  6 Fe 3.02-3.05
La 0.0000 0.0000 0.1057  6 Fe 3.02-3.05
I 0.3333 0.6667 0.7500  6 La 3.52
I 0.6667 0.3333 0.2500  6 La 3.52
Fe 0.3333 0.6667 0.0012  3 Fe 2.35
Fe 0.3333 0.6667 0.4988  3 Fe 2.35
Fe 0.6667 0.3333 0.9988  3 Fe 2.35
Fe 0.6667 0.3333 0.5012  3 Fe 2.35

- N(E_F) (states/eV per atom) = 0.613
- ΔE_f (raw) (eV/atom) = -0.49
- spin magnetization (μB/f.u.) = 1.954